Density functional theory data (SCAN) for a crystal of Ba2Si3Ag relaxed with PBEsol.

Its crystal system is orthorhombic. Its density of states at the Fermi level is 0.9 states/eV/f.u. The formation energy from raw total energies is -0.470 eV/atom. As for the volume: 25.793 Å³/atom.

The space group is Fddd (No. 70, origin choice 2) and the conventional cell measures 8.532, 14.797 and 19.612 Å, with angles of 90.00, 90.00 and 90.00 degrees. The asymmetric unit holds Ba at (0.125, 0.125, 0.001), Ba at (0.125, 0.125, 0.501), Si at (0.116, 0.295, 0.377), Si at (0.125, 0.286, 0.125) and Ag at (0.125, 0.292, 0.625).